No. 1
VASP calculation (PBE) on Tl2CrIn after structural relaxation.

The structure in POSCAR format:
```
Tl2CrIn
1.0
0.0000 3.7061 3.7061
3.7061 0.0000 3.7061
3.7061 3.7061 0.0000
Cr Tl In
1 2 1
Direct
0.0000 0.0000 0.0000
0.2500 0.2500 0.2500
0.7500 0.7500 0.7500
0.5000 0.5000 0.5000
```

Computed properties:
DFT formation energy ... 0.4259 eV per atom
Density ... 9.388 g/cm3

---

No. 2
VASP calculation (PBE) on ScTaNb3 after structural relaxation.

The structure in POSCAR format:
```
ScTaNb3
1.0
-4.4818 -0.9189 -1.8115
1.9330 -3.2781 -3.1193
-0.6243 -3.5527 3.3468
Sc Nb Ta
1 3 1
Direct
0.5000 0.5000 0.5000
0.0000 0.5000 0.0000
0.0000 0.0000 0.5000
0.5000 0.0000 0.0000
0.0000 0.0000 0.0000
```

Computed properties:
DFT formation energy ... 1.1212 eV per atom
Density ... 7.033 g/cm3

---

No. 3
VASP calculation (PBE) on KCd11Cu after structural relaxation.

The structure in POSCAR format:
```
KCd11Cu
1.0
-5.5132 2.1070 0.8141
-4.0817 -4.4729 4.8627
-0.4612 4.9353 5.9044
K Cd Cu
1 11 1
Direct
0.0000 0.0000 0.0000
0.2973 0.2256 0.2123
0.7027 0.7744 0.7877
0.4904 0.7744 0.2123
0.5096 0.2256 0.7877
0.3677 0.6410 0.6555
0.6323 0.3590 0.3445
0.9768 0.3590 0.6555
0.0232 0.6410 0.3445
0.0000 0.5000 0.0000
0.5000 0.0000 0.5000
0.0000 0.0000 0.5000
0.5000 0.5000 0.0000
```

Computed properties:
DFT formation energy ... -0.0140 eV per atom
Density ... 7.270 g/cm3